YPAuCl2 after structural relaxation. Source: the Alexandria database, functional PBE.

Summary:
energy = -4.27 eV per atom
size of the total moment = 1.009 μB/cell
space-group type = P4/mmm (123)
ΔE_f (raw) = -11.53 kcal/mol of atoms

Unit cell a=5.0494 b=5.0494 c=5.8203 alpha=90.00 beta=90.00 gamma=90.00
Element x y z (fractional)
Y 0.0000 0.0000 0.0000
P 0.0000 0.0000 0.5000
Au 0.5000 0.5000 0.5000
Cl 0.0000 0.5000 0.0000
Cl 0.5000 0.0000 0.0000

***

ZnP2AuCl after structural relaxation. Source: the Alexandria database, functional PBE.

Summary:
energy = -2.63 eV per atom
size of the total moment = 0.571 μB/cell
space-group type = P4/mmm (123)
ΔE_f (raw) = 18.71 kcal/mol of atoms

Unit cell a=4.6902 b=4.6902 c=4.7534 alpha=90.00 beta=90.00 gamma=90.00
Element x y z (fractional)
Zn 0.0000 0.0000 0.0000
P 0.0000 0.5000 0.0000
P 0.5000 0.0000 0.0000
Au 0.5000 0.5000 0.5000
Cl 0.0000 0.0000 0.5000

***

ZnPAuCl2 after structural relaxation. Source: the Alexandria database, functional PBE.

Summary:
energy = -2.30 eV per atom
size of the total moment = 1.330 μB/cell
space-group type = P4/mmm (123)
ΔE_f (raw) = 9.87 kcal/mol of atoms

Unit cell a=5.0976 b=5.0976 c=4.8954 alpha=90.00 beta=90.00 gamma=90.00
Element x y z (fractional)
Zn 0.0000 0.0000 0.0000
P 0.5000 0.5000 0.0000
Au 0.5000 0.5000 0.5000
Cl 0.0000 0.5000 0.5000
Cl 0.5000 0.0000 0.5000

***

ZnPAuCl2 after structural relaxation. Source: the Alexandria database, functional PBE.

Summary:
energy = -2.38 eV per atom
size of the total moment = 1.363 μB/cell
space-group type = P4/mmm (123)
ΔE_f (raw) = 8.11 kcal/mol of atoms

Unit cell a=4.4475 b=4.4475 c=6.5555 alpha=90.00 beta=90.00 gamma=90.00
Element x y z (fractional)
Zn 0.0000 0.0000 0.0000
P 0.0000 0.0000 0.5000
Au 0.5000 0.5000 0.5000
Cl 0.0000 0.5000 0.0000
Cl 0.5000 0.0000 0.0000

***

Number 1: excess energy over the best structure of this formula in the dataset 0 kJ/mol of formula units. Number 2: excess energy over the best structure of this formula in the dataset 0 kJ/mol of formula units. Number 3: excess energy over the best structure of this formula in the dataset 37 kJ/mol of formula units. Number 4: excess energy over the best structure of this formula in the dataset 0 kJ/mol of formula units.